(1)
## SiBW2 (GGA-PBE)

Data for a relaxed SiBW2 crystal.

Values from the calculation:
space group: No. 122
polymorph energy (0 for the lowest one): 1127 meV/atom
formation energy without anion corrections: 1.071 eV per atom
calculated volume: 17.43 Å³ per atom

a b c (Å): 6.6906 6.6906 6.6906
angles (deg): 136.63 136.63 63.01
With the nearest neighbours (Å) after each atom.
Fractional positions:
Si: 0.0000 0.0000 0.0000  4 W 2.48
Si: 0.7500 0.2500 0.5000  4 W 2.48
B: 0.2500 0.7500 0.5000  4 W 2.07
B: 0.5000 0.5000 0.0000  4 W 2.07
W: 0.2018 0.6250 0.0768  2 B 2.07
W: 0.3750 0.4518 0.5768  2 B 2.07
W: 0.5482 0.1250 0.9232  2 B 2.07
W: 0.8750 0.7982 0.4232  2 B 2.07

(2)
## TeWS (GGA-PBE)

Data for a relaxed TeWS crystal.

Values from the calculation:
space group: No. 12
formation energy without anion corrections: 0.037 eV per atom
calculated volume: 20.55 Å³ per atom

a b c (Å): 5.1266 5.1266 7.3185
angles (deg): 100.52 100.52 40.81
With the nearest neighbours (Å) after each atom.
Fractional positions:
Te: 0.1174 0.1174 0.3630  4 W 2.83-2.88
Te: 0.8826 0.8826 0.6370  4 W 2.83-2.88
W: 0.1859 0.1859 0.7563  3 S 2.39-2.48
W: 0.8141 0.8141 0.2437  3 S 2.39-2.48
S: 0.3655 0.3655 0.0502  3 W 2.39-2.48
S: 0.6345 0.6345 0.9498  3 W 2.39-2.48

(3)
## BaIrBr2 (GGA-PBE)

Data for a relaxed BaIrBr2 crystal.

Values from the calculation:
space group: No. 71
polymorph energy (0 for the lowest one): 98 meV/atom
formation energy without anion corrections: -0.534 eV per atom
calculated volume: 27.91 Å³ per atom

a b c (Å): 5.9703 5.9703 5.9703
angles (deg): 140.28 123.16 71.57
With the nearest neighbours (Å) after each atom.
Fractional positions:
Ba: 0.0000 0.0000 0.0000  4 Br 3.31, 4 Ir 3.49
Ir: 0.5000 0.5000 0.0000  4 Br 2.64
Br: 0.3249 0.8249 0.5000  2 Ir 2.64
Br: 0.6751 0.1751 0.5000  2 Ir 2.64

(4)
## Tl3AsPb (GGA-PBE)

Data for a relaxed Tl3AsPb crystal.

Values from the calculation:
space group: No. 221
polymorph energy (0 for the lowest one): 633 meV/atom
energy of formation: 676 meV per atom
calculated volume: 42.03 Å³ per atom

a b c (Å): 5.9453 5.9453 5.9453
angles (deg): 90.00 90.00 90.00
With the nearest neighbours (Å) after each atom.
Fractional positions:
Tl: 0.0000 0.0000 0.5000  2 Pb 2.97
Tl: 0.0000 0.5000 0.0000  2 Pb 2.97
Tl: 0.5000 0.0000 0.0000  2 Pb 2.97
As: 0.5000 0.5000 0.5000  12 Tl 4.20
Pb: 0.0000 0.0000 0.0000  6 Tl 2.97

(5)
## ErMoC2 (GGA-PBE)

Data for a relaxed ErMoC2 crystal.

Values from the calculation:
space group: No. 166
polymorph energy (0 for the lowest one): 102 meV/atom
energy of formation: -177 meV per atom
calculated volume: 12.36 Å³ per atom

a b c (Å): 5.8180 5.8180 5.8180
angles (deg): 32.10 32.10 32.10
With the nearest neighbours (Å) after each atom.
Fractional positions:
Er: 0.0000 0.0000 0.0000  6 C 2.42
Mo: 0.5000 0.5000 0.5000  6 C 2.22
C: 0.2396 0.2396 0.2396  3 Mo 2.22, 3 Er 2.42
C: 0.7604 0.7604 0.7604  3 Mo 2.22, 3 Er 2.42

(6)
## DyEr5Cd3 (GGA-PBE)

Data for a relaxed DyEr5Cd3 crystal.

Values from the calculation:
space group: No. 193
energy of formation: -188 meV per atom
calculated volume: 27.42 Å³ per atom

a b c (Å): 9.0957 9.0957 6.8887
angles (deg): 90.00 90.00 120.00
With the nearest neighbours (Å) after each atom.
Fractional positions:
Dy: 0.0000 0.0000 0.0000  2 Dy 3.44, 6 Cd 3.49, 6 Er 3.49
Dy: 0.0000 0.0000 0.5000  2 Dy 3.44, 6 Cd 3.49, 6 Er 3.49
Er: 0.0000 0.3341 0.2500  3 Cd 3.03
Er: 0.0000 0.6659 0.7500  3 Cd 3.03
Er: 0.3333 0.6667 0.0000  8 Er 3.44-3.48, 6 Cd 3.49
Er: 0.3333 0.6667 0.5000  8 Er 3.44-3.48, 6 Cd 3.49
Er: 0.3341 0.0000 0.2500  3 Cd 3.03
Er: 0.3341 0.3341 0.7500  3 Cd 3.03
Er: 0.6659 0.0000 0.7500  3 Cd 3.03
Er: 0.6659 0.6659 0.2500  3 Cd 3.03
Er: 0.6667 0.3333 0.0000  8 Er 3.44-3.48, 6 Cd 3.49
Er: 0.6667 0.3333 0.5000  8 Er 3.44-3.48, 6 Cd 3.49
Cd: 0.0000 0.3333 0.7500  3 Er 3.03
Cd: 0.0000 0.6667 0.2500  3 Er 3.03
Cd: 0.3333 0.0000 0.7500  3 Er 3.03
Cd: 0.3333 0.3333 0.2500  3 Er 3.03
Cd: 0.6667 0.0000 0.2500  3 Er 3.03
Cd: 0.6667 0.6667 0.7500  3 Er 3.03

Question: Which value of calculated volume does entry 6 give?
Answer: 27.42 Å³ per atom

Question: What is the calculated volume in the fourth record?
Answer: 42.03 Å³ per atom

Question: Among the records above, which one has the highest calculated volume?
Answer: Tl3AsPb